Entry 1:
This record from Alexandria via LeMat-Bulk describes a geometry-optimized CoW structure. The functional is PBE-GGA.

abc: 13.512 4.362 2.742
angles: 90.00 90.00 90.00
Last column: magnetic moment on the atom in μB.
Atoms (fractional coordinates):
Co (0.649, 0.000, 0.500)  0.49
Co (0.351, 0.000, 0.500)  0.49
Co (0.149, 0.500, 0.500)  0.49
Co (0.851, 0.500, 0.500)  0.49
Co (0.000, 0.000, 0.500)  1.13
Co (0.500, 0.500, 0.500)  1.13
W (0.819, 0.000, 0.000)  0.09
W (0.181, 0.000, 0.000)  0.09
W (0.319, 0.500, 0.000)  0.09
W (0.681, 0.500, 0.000)  0.09
W (0.500, 0.000, 0.000)  0.09
W (0.000, 0.500, 0.000)  0.09

formation enthalpy at 0 K = 22.4 kJ per mole of atoms


Entry 2:
This record from Alexandria via LeMat-Bulk describes a geometry-optimized Na3CaNp2Te6 structure. The functional is PBE-GGA.

abc: 7.779 7.779 7.926
angles: 99.43 99.43 120.00
Last column: magnetic moment on the atom in μB.
Atoms (fractional coordinates):
Na (0.164, 0.836, 0.500)  0.00
Na (0.836, 0.164, 0.500)  0.00
Na (0.500, 0.500, 0.500)  0.00
Ca (0.000, 0.000, 0.000)  -0.01
Np (0.333, 0.667, 0.000)  3.78
Np (0.667, 0.333, 0.000)  3.78
Te (0.922, 0.579, 0.767)  -0.09
Te (0.735, 0.735, 0.234)  -0.09
Te (0.078, 0.421, 0.233)  -0.09
Te (0.579, 0.922, 0.767)  -0.09
Te (0.265, 0.265, 0.766)  -0.09
Te (0.421, 0.078, 0.233)  -0.09

formation energy from raw total energies = -93.1 kJ per mole of atoms


Entry 3:
This record from Alexandria via LeMat-Bulk describes a geometry-optimized RbSrMn2 structure. The functional is PBE-GGA.

abc: 5.788 5.788 5.788
angles: 60.00 60.00 60.00
Last column: magnetic moment on the atom in μB.
Atoms (fractional coordinates):
Sr (0.500, 0.500, 0.500)  -0.09
Mn (0.250, 0.250, 0.250)  4.04
Mn (0.750, 0.750, 0.750)  4.04
Rb (0.000, 0.000, 0.000)  -0.02

formation enthalpy at 0 K = 99.7 kJ per mole of atoms
energy relative to the lowest polymorph listed for this composition = 0.000 eV per atom


Entry 4:
This record from Alexandria via LeMat-Bulk describes a geometry-optimized Sb3WS structure. The functional is PBE-GGA.

abc: 5.065 5.065 5.065
angles: 90.00 90.00 90.00
Last column: magnetic moment on the atom in μB.
Atoms (fractional coordinates):
Sb (0.000, 0.500, 0.000)  -0.08
Sb (0.000, 0.000, 0.500)  -0.09
Sb (0.500, 0.000, 0.000)  0.00
S (0.000, 0.000, 0.000)  -0.01
W (0.500, 0.500, 0.500)  2.41

formation energy from raw total energies = 125.1 kJ per mole of atoms
energy relative to the lowest polymorph listed for this composition = 0.685 eV per atom


Entry 5:
This record from Alexandria via LeMat-Bulk describes a geometry-optimized TlV2Cd2 structure. The functional is PBE-GGA.

abc: 4.061 4.061 6.887
angles: 72.85 72.85 90.00
Atoms (fractional coordinates):
Tl (0.000, 0.000, 0.000)
Cd (0.750, 0.250, 0.500)
Cd (0.250, 0.750, 0.500)
V (0.425, 0.425, 0.151)
V (0.575, 0.575, 0.849)

formation enthalpy at 0 K = 51.6 kJ per mole of atoms
energy relative to the lowest polymorph listed for this composition = 0.117 eV per atom


Entry 6:
This record from Alexandria via LeMat-Bulk describes a geometry-optimized AcLa6Pm5 structure. The functional is PBE-GGA.

abc: 11.721 5.281 8.367
angles: 71.60 81.80 63.14
Atoms (fractional coordinates):
Ac (0.000, 0.000, 0.000)
La (0.747, 0.086, 0.335)
La (0.253, 0.579, 0.335)
La (0.256, 0.243, 0.000)
La (0.744, 0.757, 0.000)
La (0.747, 0.421, 0.665)
La (0.253, 0.914, 0.665)
Pm (0.500, 0.167, 0.667)
Pm (0.000, 0.330, 0.340)
Pm (0.500, 0.500, 0.000)
Pm (0.000, 0.670, 0.660)
Pm (0.500, 0.833, 0.333)

formation enthalpy at 0 K = 2.0 kJ per mole of atoms
energy relative to the lowest polymorph listed for this composition = 0.003 eV per atom


Entry 7:
This record from Alexandria via LeMat-Bulk describes a geometry-optimized CsFe2Br structure. The functional is PBE-GGA.

abc: 5.415 5.415 5.415
angles: 60.00 60.00 60.00
Last column: magnetic moment on the atom in μB.
Atoms (fractional coordinates):
Cs (0.500, 0.500, 0.500)  -0.08
Fe (0.250, 0.250, 0.250)  -3.34
Fe (0.750, 0.750, 0.750)  -3.34
Br (0.000, 0.000, 0.000)  -0.16

formation energy from raw total energies = 131.9 kJ per mole of atoms


Entry 8:
This record from Alexandria via LeMat-Bulk describes a geometry-optimized CeThP2Ir2 structure. The functional is PBE-GGA.

abc: 4.138 4.138 7.967
angles: 90.00 90.00 120.00
Atoms (fractional coordinates):
Ce (0.000, 0.000, 0.500)
Th (0.000, 0.000, 0.000)
P (0.667, 0.333, 0.729)
P (0.333, 0.667, 0.271)
Ir (0.667, 0.333, 0.239)
Ir (0.333, 0.667, 0.761)

formation enthalpy at 0 K = -119.4 kJ per mole of atoms


Entry 9:
This record from Alexandria via LeMat-Bulk describes a geometry-optimized Ta2MoW structure. The functional is PBE-GGA.

abc: 4.576 4.576 4.576
angles: 60.00 60.00 60.00
Atoms (fractional coordinates):
Mo (0.500, 0.500, 0.500)
W (0.750, 0.750, 0.750)
Ta (0.000, 0.000, 0.000)
Ta (0.250, 0.250, 0.250)

formation enthalpy at 0 K = -9.3 kJ per mole of atoms


Entry 10:
This record from Alexandria via LeMat-Bulk describes a geometry-optimized PmGdDyAl structure. The functional is PBE-GGA.

abc: 5.404 5.404 5.404
angles: 60.00 60.00 60.00
Last column: magnetic moment on the atom in μB.
Atoms (fractional coordinates):
Gd (0.750, 0.750, 0.750)  7.25
Pm (0.250, 0.250, 0.250)  0.14
Al (0.500, 0.500, 0.500)  -0.01
Dy (0.000, 0.000, 0.000)  0.28

formation enthalpy at 0 K = -6.4 kJ per mole of atoms


Entry 11:
This record from Alexandria via LeMat-Bulk describes a geometry-optimized La6Dy5Ho2 structure. The functional is PBE-GGA.

abc: 3.644 11.776 20.924
angles: 90.00 90.00 90.00
Atoms (fractional coordinates):
La (0.000, 0.083, 0.367)
La (0.000, 0.917, 0.633)
La (0.000, 0.583, 0.133)
La (0.000, 0.417, 0.867)
La (0.500, 0.327, 0.136)
La (0.500, 0.673, 0.864)
La (0.500, 0.827, 0.364)
La (0.500, 0.173, 0.636)
La (0.000, 0.560, 0.419)
La (0.000, 0.440, 0.581)
La (0.000, 0.060, 0.081)
La (0.000, 0.940, 0.919)
Dy (0.500, 0.301, 0.443)
Dy (0.500, 0.699, 0.557)
Dy (0.500, 0.801, 0.057)
Dy (0.500, 0.199, 0.943)
Dy (0.500, 0.594, 0.273)
Dy (0.500, 0.406, 0.727)
Dy (0.500, 0.094, 0.227)
Dy (0.500, 0.906, 0.773)
Dy (0.500, 0.500, 0.000)
Dy (0.500, 0.000, 0.500)
Ho (0.000, 0.336, 0.291)
Ho (0.000, 0.664, 0.709)
Ho (0.000, 0.836, 0.209)
Ho (0.000, 0.164, 0.791)

formation enthalpy at 0 K = 10.7 kJ per mole of atoms


Entry 12:
This record from Alexandria via LeMat-Bulk describes a geometry-optimized LaBiAs3 structure. The functional is PBE-GGA.

abc: 5.366 5.366 5.366
angles: 90.00 90.00 90.00
Atoms (fractional coordinates):
As (0.000, 0.500, 0.000)
As (0.000, 0.000, 0.500)
As (0.500, 0.000, 0.000)
Bi (0.000, 0.000, 0.000)
La (0.500, 0.500, 0.500)

formation enthalpy at 0 K = 22.3 kJ per mole of atoms
energy relative to the lowest polymorph listed for this composition = 0.000 eV per atom